Entry from Alexandria: a relaxed Li2MnO crystal (PBE+U).

Structure (CIF):
```
data_Li2MnO
_cell_length_a 7.5285
_cell_length_b 7.5285
_cell_length_c 4.0698
_cell_angle_alpha 90.00
_cell_angle_beta 90.00
_cell_angle_gamma 90.00
_space_group_name_H-M_alt 'I -4 2 d'
_space_group_IT_number 122
_space_group_name_Hall 'I -4 2bw'
loop_
_atom_site_label
_atom_site_type_symbol
_atom_site_fract_x
_atom_site_fract_y
_atom_site_fract_z
Li1 Li 0.1048 0.2500 0.1250
Mn1 Mn 0.0000 0.0000 0.5000
O1 O 0.0000 0.0000 0.0000
```

Properties
Its total magnetization is 4.4 μB/f.u. The calculation puts the density of states at the Fermi level at 0.35 states/eV/atom. Its energy is -0.3518 Ry/atom.